Computed, not measured: TcHg3 after structural relaxation at the PBE-GGA level of DFT.

Cell: 3.1407 4.2104 6.1383 Å, 90.00 90.00 90.00°
Last column: nearest neighbours and their distance in Å.
Atoms (fractional coordinates):
Hg 0.0000 0.0000 0.0178  7 Hg 2.85-3.14, 4 Tc 2.99
Hg 0.0000 0.0000 0.4822  7 Hg 2.85-3.14, 4 Tc 2.99
Hg 0.5000 0.5000 0.7500  2 Tc 3.07, 10 Hg 3.10-3.14
Tc 0.5000 0.5000 0.2500  10 Hg 2.99-3.07, 2 Tc 3.14

Values from the calculation:
Total DFT energy (no corrections) (eV per atom): -2.201
Calculated formation energy (eV per atom): 0.616
Energy relative to the lowest polymorph listed for this composition (kJ per mole of atoms): 26.5
M_tot (μB per cell): 1.7
Symmetry: Pmmm (47)
Crystal system: orthorhombic